(1)
TmZrPdRh | PBE-GGA | optimized geometry

a b c (Å): 6.7475 6.7475 6.7475
angles (deg): 90.00 90.00 90.00
Closest atoms and distances in Å follow each position.
Space group F-43m (No. 216)
Symmetry-distinct sites (fractional):
Tm  0.0000  0.0000  0.0000 [4 per cell]  4 Rh 2.92, 4 Pd 2.92
Zr  0.0000  0.0000  0.5000 [4 per cell]  4 Rh 2.92, 4 Pd 2.92
Pd  0.2500  0.2500  0.7500 [4 per cell]  4 Zr 2.92, 4 Tm 2.92
Rh  0.2500  0.2500  0.2500 [4 per cell]  4 Zr 2.92, 4 Tm 2.92

The volume is 19.20 Å³ per atom. The calculation puts the energy above the lowest structure with this stoichiometry at 0.036 eV/atom. For the density of states at the Fermi level, the calculation gives 5.3 states/eV/f.u.

(2)
LaSbSe | PBE-GGA | optimized geometry

a b c (Å): 4.9558 4.9558 27.3218
angles (deg): 90.00 90.00 120.00
Closest atoms and distances in Å follow each position.
Space group R-3m (No. 166, hexagonal axes)
Symmetry-distinct sites (fractional):
La  0.0000  0.0000  0.0957 [6 per cell]  4 Se 2.99-3.02
Sb  0.0000  0.0000  0.3472 [6 per cell]  3 Sb 2.96
Se  0.0000  0.0000  0.2064 [6 per cell]  4 La 2.99-3.02

The volume is 32.28 Å³ per atom. The final energy is -5.402 eV per atom. For the density of states at the Fermi level, the calculation gives 0.7 states/eV/f.u.

(3)
Pm4Sm8Tm | PBE-GGA | optimized geometry

a b c (Å): 7.3844 7.3844 28.3349
angles (deg): 90.00 90.00 120.00
Closest atoms and distances in Å follow each position.
Space group R-3m (No. 166, hexagonal axes)
Symmetry-distinct sites (fractional):
Pm  0.0000  0.0000  0.0000 [3 per cell]  6 Sm 3.42, 6 Pm 3.69
Pm  0.0000  0.5000  0.0000 [9 per cell]  6 Sm 3.61-4.00, 6 Pm 3.69
Sm  0.0000  0.0000  0.2139 [6 per cell]  9 Sm 3.74-3.76, 3 Pm 4.00
Sm  0.0337  0.5169  0.7666 [18 per cell]  1 Tm 3.01, 2 Sm 3.32
Tm  0.0000  0.0000  0.5000 [3 per cell]  6 Sm 3.01

The volume is 34.31 Å³ per atom. The final energy is -4.518 eV per atom. For the density of states at the Fermi level, the calculation gives 12.7 states/eV/f.u.

(4)
Pm4Sn4Pb | PBE-GGA | optimized geometry

a b c (Å): 9.8100 9.8100 6.3660
angles (deg): 90.00 90.00 90.00
Closest atoms and distances in Å follow each position.
Space group P4_2/n (No. 86, origin choice 2)
Symmetry-distinct sites (fractional):
Pm  0.0734  0.6573  0.1245 [8 per cell]  5 Sn 3.14-3.29
Sn  0.0262  0.6196  0.6281 [8 per cell]  1 Sn 2.90, 1 Pb 3.10, 2 Pm 3.14-3.22
Pb  0.2500  0.2500  0.2500 [2 per cell]  4 Sn 3.10

The volume is 34.04 Å³ per atom. The final energy is -4.678 eV per atom. For the density of states at the Fermi level, the calculation gives 6.7 states/eV/f.u.